No. 1
First-principles (PBE-GGA) data for a geometry-optimized Mn4V3Mo structure, as listed in Alexandria via LeMat-Bulk.

Cell: 2.908 4.114 8.210 Å, 90.00 90.00 90.00°
Atoms (fractional coordinates):
Mo (0.500, 0.500, 0.000)
Mn (0.000, 0.000, 0.500)
Mn (0.000, 0.500, 0.744)
Mn (0.000, 0.000, 0.000)
Mn (0.000, 0.500, 0.256)
V (0.500, 0.000, 0.255)
V (0.500, 0.500, 0.500)
V (0.500, 0.000, 0.745)

Calculated values
As for the formation energy: -170 meV/atom. The density of states at the Fermi level comes out at 3.5 states/eV/f.u.

No. 2
First-principles (PBE-GGA) data for a geometry-optimized CaAcNdAg structure, as listed in Alexandria via LeMat-Bulk.

Cell: 5.724 5.724 5.724 Å, 60.00 60.00 60.00°
Atoms (fractional coordinates):
Ac (0.000, 0.000, 0.000)
Nd (0.750, 0.750, 0.750)
Ca (0.250, 0.250, 0.250)
Ag (0.500, 0.500, 0.500)

Calculated values
As for the formation energy: 174 meV/atom. The density of states at the Fermi level comes out at 5.1 states/eV/f.u.

No. 3
First-principles (PBE-GGA) data for a geometry-optimized Mg2Sc6Tl structure, as listed in Alexandria via LeMat-Bulk.

Cell: 4.576 9.665 9.666 Å, 90.00 90.01 90.00°
Atoms (fractional coordinates):
Mg (0.000, 0.325, 0.825)
Mg (0.500, 0.825, 0.675)
Mg (0.500, 0.175, 0.325)
Mg (0.000, 0.675, 0.175)
Sc (0.000, 0.000, 0.165)
Sc (0.000, 0.665, 0.500)
Sc (0.000, 0.652, 0.848)
Sc (0.500, 0.152, 0.652)
Sc (0.500, 0.165, 0.000)
Sc (0.500, 0.500, 0.335)
Sc (0.000, 0.000, 0.835)
Sc (0.000, 0.335, 0.500)
Sc (0.000, 0.348, 0.152)
Sc (0.500, 0.848, 0.348)
Sc (0.500, 0.835, 0.000)
Sc (0.500, 0.500, 0.665)
Tl (0.500, 0.500, 0.000)
Tl (0.000, 0.000, 0.500)

Calculated values
As for the formation energy: -75 meV/atom. The density of states at the Fermi level comes out at 13.8 states/eV/f.u.

No. 4
First-principles (PBE-GGA) data for a geometry-optimized MgAgAu3 structure, as listed in Alexandria via LeMat-Bulk.

Cell: 5.076 5.076 5.076 Å, 90.00 90.00 90.00°
Atoms (fractional coordinates):
Mg (0.500, 0.500, 0.500)
Au (0.000, 0.500, 0.000)
Au (0.000, 0.000, 0.500)
Au (0.500, 0.000, 0.000)
Ag (0.000, 0.000, 0.000)

Calculated values
The relative energy among the computed polymorphs is 0.668 eV per atom. As for the formation energy: 518 meV/atom. The density of states at the Fermi level comes out at 1.8 states/eV/f.u.

No. 5
First-principles (PBE-GGA) data for a geometry-optimized RbMgInPb3 structure, as listed in Alexandria via LeMat-Bulk.

Cell: 6.804 8.046 9.140 Å, 116.11 90.00 90.00°
Atoms (fractional coordinates):
Rb (0.750, 0.295, 0.589)
Rb (0.250, 0.705, 0.411)
Mg (0.250, 0.928, 0.856)
Mg (0.750, 0.072, 0.144)
In (0.250, 0.364, 0.728)
In (0.750, 0.636, 0.272)
Pb (0.250, 0.123, 0.246)
Pb (0.000, 0.289, 0.000)
Pb (0.500, 0.711, 0.000)
Pb (0.500, 0.289, 0.000)
Pb (0.000, 0.711, 0.000)
Pb (0.750, 0.877, 0.754)

Calculated values
As for the formation energy: 33 meV/atom. The density of states at the Fermi level comes out at 2.4 states/eV/f.u.

No. 6
First-principles (PBE-GGA) data for a geometry-optimized Dy5IrAu2 structure, as listed in Alexandria via LeMat-Bulk.

Cell: 4.744 7.266 11.752 Å, 90.00 90.00 90.00°
Atoms (fractional coordinates):
Dy (0.000, 0.000, 0.500)
Dy (0.000, 0.500, 0.000)
Dy (0.000, 0.846, 0.207)
Dy (0.000, 0.154, 0.793)
Dy (0.000, 0.654, 0.707)
Dy (0.000, 0.346, 0.293)
Dy (0.500, 0.679, 0.415)
Dy (0.500, 0.321, 0.585)
Dy (0.500, 0.821, 0.915)
Dy (0.500, 0.179, 0.085)
Ir (0.000, 0.500, 0.500)
Ir (0.000, 0.000, 0.000)
Au (0.500, 0.568, 0.163)
Au (0.500, 0.432, 0.837)
Au (0.500, 0.932, 0.663)
Au (0.500, 0.068, 0.337)

Calculated values
As for the formation energy: -728 meV/atom. The density of states at the Fermi level comes out at 6.7 states/eV/f.u.

No. 7
First-principles (PBE-GGA) data for a geometry-optimized InCoS2N structure, as listed in Alexandria via LeMat-Bulk.

Cell: 4.907 4.907 3.470 Å, 90.00 90.00 90.00°
Atoms (fractional coordinates):
S (0.000, 0.500, 0.000)
S (0.500, 0.000, 0.000)
N (0.000, 0.000, 0.500)
Co (0.000, 0.000, 0.000)
In (0.500, 0.500, 0.500)

Calculated values
The relative energy among the computed polymorphs is 0.000 eV per atom. The density of states at the Fermi level comes out at 3.8 states/eV/f.u.

No. 8
First-principles (PBE-GGA) data for a geometry-optimized SrYTlIn structure, as listed in Alexandria via LeMat-Bulk.

Cell: 3.908 3.908 7.930 Å, 90.00 90.00 90.00°
Atoms (fractional coordinates):
Sr (0.000, 0.000, 0.858)
Y (0.000, 0.000, 0.355)
Tl (0.500, 0.500, 0.583)
In (0.500, 0.500, 0.132)

Calculated values
The relative energy among the computed polymorphs is 0.000 eV per atom. As for the formation energy: -432 meV/atom. The density of states at the Fermi level comes out at 1.9 states/eV/f.u.

No. 9
First-principles (PBE-GGA) data for a geometry-optimized TeMo4Ru2 structure, as listed in Alexandria via LeMat-Bulk.

Cell: 4.865 4.865 7.164 Å, 70.15 70.15 90.00°
Last column: magnetic moment on the atom in μB.
Atoms (fractional coordinates):
Ru (0.612, 0.612, 0.777)  -0.09
Ru (0.388, 0.388, 0.223)  -0.09
Mo (0.790, 0.790, 0.419)  1.11
Mo (0.210, 0.210, 0.581)  1.11
Mo (0.000, 0.500, 0.000)  -0.19
Mo (0.500, 0.000, 0.000)  -0.19
Te (0.000, 0.000, 0.000)  0.00

Calculated values
The density of states at the Fermi level comes out at 8.7 states/eV/f.u. For the energy, the calculation gives -7.584 eV per atom.

No. 10
First-principles (PBE-GGA) data for a geometry-optimized CaBe2Re structure, as listed in Alexandria via LeMat-Bulk.

Cell: 3.349 3.381 5.771 Å, 72.92 90.00 90.00°
Atoms (fractional coordinates):
Re (0.500, 0.737, 0.902)
Ca (0.000, 0.452, 0.469)
Be (0.000, 0.212, 0.953)
Be (0.500, 0.099, 0.175)

Calculated values
The relative energy among the computed polymorphs is 0.000 eV per atom. As for the formation energy: 289 meV/atom. The density of states at the Fermi level comes out at 2.8 states/eV/f.u.

No. 11
First-principles (PBE-GGA) data for a geometry-optimized BaRhSe2 structure, as listed in Alexandria via LeMat-Bulk.

Cell: 7.316 7.316 7.316 Å, 150.97 147.92 43.81°
Atoms (fractional coordinates):
Ba (0.453, 0.453, 0.000)
Rh (0.202, 0.702, 0.500)
Se (0.078, 0.078, 0.000)
Se (0.766, 0.266, 0.500)

Calculated values
The relative energy among the computed polymorphs is 0.339 eV per atom. The density of states at the Fermi level comes out at 4.5 states/eV/f.u.

No. 12
First-principles (PBE-GGA) data for a geometry-optimized Tb4PdRu structure, as listed in Alexandria via LeMat-Bulk.

Cell: 6.923 6.880 6.915 Å, 90.00 92.50 90.00°
Atoms (fractional coordinates):
Tb (0.848, 0.663, 0.171)
Tb (0.652, 0.163, 0.829)
Tb (0.322, 0.334, 0.343)
Tb (0.178, 0.834, 0.657)
Tb (0.152, 0.337, 0.829)
Tb (0.348, 0.837, 0.171)
Tb (0.678, 0.666, 0.657)
Tb (0.822, 0.166, 0.343)
Pd (0.000, 0.000, 0.000)
Pd (0.500, 0.500, 0.000)
Ru (0.500, 0.000, 0.500)
Ru (0.000, 0.500, 0.500)

Calculated values
The relative energy among the computed polymorphs is 0.030 eV per atom. As for the formation energy: -409 meV/atom. The density of states at the Fermi level comes out at 4.2 states/eV/f.u.